(1)
First-principles (PBE-GGA) data for a relaxed structure of DyTl2F5, as listed in Alexandria via LeMat-Bulk.

Cell lengths 7.011, 7.421, 11.524 Å; angles 90.00, 90.00, 90.00 degrees
Element x y z (fractional)
1 Dy 0.440 0.250 0.502
2 Dy 0.560 0.750 0.498
3 Dy 0.940 0.750 0.998
4 Dy 0.060 0.250 0.002
5 Tl 0.477 0.501 0.829
6 Tl 0.523 0.499 0.171
7 Tl 0.977 0.499 0.671
8 Tl 0.523 0.001 0.171
9 Tl 0.023 0.501 0.329
10 Tl 0.477 0.999 0.829
11 Tl 0.023 0.999 0.329
12 Tl 0.977 0.001 0.671
13 F 0.125 0.250 0.520
14 F 0.875 0.750 0.480
15 F 0.625 0.750 0.980
16 F 0.375 0.250 0.020
17 F 0.358 0.964 0.568
18 F 0.642 0.036 0.432
19 F 0.858 0.036 0.932
20 F 0.642 0.464 0.432
21 F 0.142 0.964 0.068
22 F 0.358 0.536 0.568
23 F 0.142 0.536 0.068
24 F 0.858 0.464 0.932
25 F 0.148 0.250 0.817
26 F 0.852 0.750 0.183
27 F 0.648 0.750 0.683
28 F 0.352 0.250 0.317
29 F 0.614 0.250 0.662
30 F 0.386 0.750 0.338
31 F 0.114 0.750 0.838
32 F 0.886 0.250 0.162

For the theoretical density, the calculation gives 7.4 Mg/m³. For the energy, the calculation gives -5.307 eV per atom. The space group is No. 62. As for the uncorrected formation energy: -2.971 eV/atom. For the total moment, the calculation gives 0.00 Bohr magnetons per cell.



(2)
First-principles (PBE-GGA) data for a relaxed structure of Si2TeSeF, as listed in Alexandria via LeMat-Bulk.

Cell lengths 5.335, 4.258, 5.335 Å; angles 90.00, 90.00, 90.00 degrees
Element x y z (fractional)
1 Si 0.000 0.000 0.500
2 Si 0.500 0.000 0.000
3 Te 0.000 0.000 0.000
4 Se 0.500 0.500 0.500
5 F 0.000 0.500 0.000

For the theoretical density, the calculation gives 3.9 Mg/m³. For the energy, the calculation gives -3.513 eV per atom. The space group is No. 123. As for the uncorrected formation energy: 0.356 eV/atom. For the total moment, the calculation gives 0.00 Bohr magnetons per cell.



(3)
First-principles (PBE-GGA) data for a relaxed structure of Zn2GaCl6, as listed in Alexandria via LeMat-Bulk.

Cell lengths 6.475, 9.339, 9.339 Å; angles 89.73, 76.88, 76.88 degrees
Element x y z (fractional)
1 Zn 0.164 0.624 0.782
2 Zn 0.336 0.218 0.376
3 Zn 0.836 0.376 0.218
4 Zn 0.664 0.782 0.624
5 Ga 0.250 0.177 0.823
6 Ga 0.750 0.823 0.177
7 Cl 0.359 0.721 0.581
8 Cl 0.141 0.419 0.279
9 Cl 0.641 0.279 0.419
10 Cl 0.859 0.581 0.721
11 Cl 0.868 0.837 0.403
12 Cl 0.632 0.597 0.163
13 Cl 0.132 0.163 0.597
14 Cl 0.368 0.403 0.837
15 Cl 0.100 0.781 0.984
16 Cl 0.400 0.016 0.219
17 Cl 0.900 0.219 0.016
18 Cl 0.600 0.984 0.781

For the theoretical density, the calculation gives 2.6 Mg/m³. For the energy, the calculation gives -2.834 eV per atom. The space group is No. 15. As for the uncorrected formation energy: -0.984 eV/atom. For the total moment, the calculation gives 0.00 Bohr magnetons per cell.



(4)
First-principles (PBE-GGA) data for a relaxed structure of Pm4MgAlZn2, as listed in Alexandria via LeMat-Bulk.

Cell lengths 5.256, 5.256, 9.140 Å; angles 73.29, 73.29, 60.00 degrees
Element x y z (fractional)
1 Pm 0.379 0.379 0.864
2 Pm 0.872 0.872 0.385
3 Pm 0.128 0.128 0.615
4 Pm 0.621 0.621 0.136
5 Mg 0.000 0.000 0.000
6 Al 0.500 0.500 0.500
7 Zn 0.745 0.745 0.765
8 Zn 0.255 0.255 0.235

For the theoretical density, the calculation gives 6.1 Mg/m³. The energy of formation is -0.2601 eV/atom. For the energy, the calculation gives -3.621 eV per atom. The space group is No. 166. For the total moment, the calculation gives 0.00 Bohr magnetons per cell.



(5)
First-principles (PBE-GGA) data for a relaxed structure of Tm3TeCSe, as listed in Alexandria via LeMat-Bulk.

Cell lengths 6.494, 6.738, 7.587 Å; angles 63.64, 83.53, 75.31 degrees
Element x y z (fractional)
1 Tm 0.492 0.842 0.894
2 Tm 0.008 0.264 0.894
3 Tm 0.750 0.221 0.558
4 Tm 0.508 0.158 0.106
5 Tm 0.992 0.736 0.106
6 Tm 0.250 0.779 0.442
7 Te 0.250 0.252 0.496
8 Te 0.750 0.748 0.504
9 C 0.750 0.052 0.896
10 C 0.250 0.948 0.104
11 Se 0.250 0.571 0.857
12 Se 0.750 0.429 0.143

For the theoretical density, the calculation gives 8.4 Mg/m³. For the energy, the calculation gives -5.941 eV per atom. The space group is No. 15. As for the uncorrected formation energy: -1.064 eV/atom. For the total moment, the calculation gives 0.00 Bohr magnetons per cell.



(6)
First-principles (PBE-GGA) data for a relaxed structure of RbAs2Rh2, as listed in Alexandria via LeMat-Bulk.

Cell lengths 4.052, 4.052, 7.620 Å; angles 105.42, 105.42, 90.00 degrees
Element x y z (fractional)
1 As 0.348 0.348 0.695
2 As 0.652 0.652 0.305
3 Rh 0.250 0.750 0.500
4 Rh 0.750 0.250 0.500
5 Rb 0.000 0.000 0.000

For the theoretical density, the calculation gives 6.3 Mg/m³. The energy of formation is -0.6180 eV/atom. For the energy, the calculation gives -5.612 eV per atom. The space group is No. 139. For the total moment, the calculation gives 0.00 Bohr magnetons per cell.



(7)
First-principles (PBE-GGA) data for a relaxed structure of ZnRuSe4, as listed in Alexandria via LeMat-Bulk.

Cell lengths 5.627, 5.627, 5.627 Å; angles 60.00, 60.00, 60.00 degrees
Each line ends with the local moment (μB).
Element x y z (fractional)
1 Zn 0.750 0.750 0.750  -0.03
2 Ru 0.000 0.000 0.000  2.25
3 Se 0.875 0.375 0.375  0.06
4 Se 0.375 0.375 0.875  0.06
5 Se 0.375 0.875 0.375  0.06
6 Se 0.375 0.375 0.375  0.06

For the theoretical density, the calculation gives 6.4 Mg/m³. For the energy, the calculation gives -3.109 eV per atom. The space group is No. 216. As for the uncorrected formation energy: 0.972 eV/atom. For the total moment, the calculation gives 2.68 Bohr magnetons per cell.



(8)
First-principles (PBE-GGA) data for a relaxed structure of Sc3CdRh, as listed in Alexandria via LeMat-Bulk.

Cell lengths 5.414, 5.414, 8.403 Å; angles 101.61, 101.61, 112.04 degrees
Element x y z (fractional)
1 Sc 0.300 0.800 0.100
2 Sc 0.700 0.200 0.900
3 Sc 0.081 0.199 0.281
4 Sc 0.919 0.801 0.719
5 Sc 0.699 0.581 0.281
6 Sc 0.301 0.419 0.719
7 Cd 0.718 0.218 0.500
8 Cd 0.282 0.782 0.500
9 Rh 0.250 0.250 0.000
10 Rh 0.750 0.750 0.000

For the theoretical density, the calculation gives 5.5 Mg/m³. The energy of formation is -0.4948 eV/atom. For the energy, the calculation gives -5.947 eV per atom. The space group is No. 69. For the total moment, the calculation gives 0.00 Bohr magnetons per cell. The value obtained for the distance to the lowest polymorph of the same formula is 0.000 eV/atom.



(9)
First-principles (PBE-GGA) data for a relaxed structure of Ru5C3, as listed in Alexandria via LeMat-Bulk.

Cell lengths 5.824, 5.824, 2.784 Å; angles 90.00, 90.00, 103.23 degrees
Element x y z (fractional)
1 Ru 0.000 0.000 0.000
2 Ru 0.000 0.500 0.000
3 Ru 0.500 0.000 0.000
4 Ru 0.316 0.316 0.500
5 Ru 0.684 0.684 0.500
6 C 0.500 0.500 0.000
7 C 0.813 0.187 0.500
8 C 0.187 0.813 0.500

For the theoretical density, the calculation gives 9.8 Mg/m³. The energy of formation is 0.8945 eV/atom. For the energy, the calculation gives -8.362 eV per atom. The space group is No. 65. For the total moment, the calculation gives 0.00 Bohr magnetons per cell. The value obtained for the distance to the lowest polymorph of the same formula is 0.249 eV/atom.



(10)
First-principles (PBE-GGA) data for a relaxed structure of KLiSbBr6, as listed in Alexandria via LeMat-Bulk.

Cell lengths 7.342, 7.099, 7.099 Å; angles 120.00, 90.00, 90.00 degrees
Element x y z (fractional)
1 K 0.000 0.333 0.667
2 Li 0.500 0.667 0.333
3 Sb 0.500 0.000 0.000
4 Br 0.715 0.707 0.669
5 Br 0.715 0.331 0.038
6 Br 0.715 0.962 0.293
7 Br 0.285 0.331 0.293
8 Br 0.285 0.707 0.038
9 Br 0.285 0.962 0.669

For the theoretical density, the calculation gives 3.4 Mg/m³. For the energy, the calculation gives -2.886 eV per atom. The space group is No. 149. As for the uncorrected formation energy: -0.978 eV/atom. For the total moment, the calculation gives 0.00 Bohr magnetons per cell.